Here is crystalline CeVO2 at its relaxed geometry from Alexandria via LeMat-Bulk. Energies are from GGA+U.

Output
Crystal system: tetragonal
Distance to the lowest polymorph of the same formula: 0.0000 eV per atom
N(E_F): 4.580 states/eV/f.u.

Structure (CIF):
```
data_CeVO2
_space_group_name_H-M_alt 'I 41/a m d'
_space_group_IT_number 141
_cell_length_a 6.283
_cell_length_b 6.283
_cell_length_c 12.177
_cell_angle_alpha 90.00
_cell_angle_beta 90.00
_cell_angle_gamma 90.00
loop_
_space_group_symop_operation_xyz
'x,y,z'
'-x,-y,-z'
'-y+1/4,x+3/4,z+1/4'
'y+1/4,-x+3/4,-z+1/4'
'-x+1/2,-y,z+1/2'
'x+1/2,y,-z+1/2'
'y+1/4,-x+1/4,z+3/4'
'-y+1/4,x+1/4,-z+3/4'
'x,-y,-z'
'-x,y,z'
'-y+1/4,-x+1/4,-z+3/4'
'y+1/4,x+1/4,z+3/4'
'-x+1/2,y,-z+1/2'
'x+1/2,-y,z+1/2'
'y+1/4,x+3/4,-z+1/4'
'-y+1/4,-x+3/4,z+1/4'
'x+1/2,y+1/2,z+1/2'
'-x+1/2,-y+1/2,-z+1/2'
'-y+3/4,x+1/4,z+3/4'
'y+3/4,-x+1/4,-z+3/4'
'-x,-y+1/2,z'
'x,y+1/2,-z'
'y+3/4,-x+3/4,z+1/4'
'-y+3/4,x+3/4,-z+1/4'
'x+1/2,-y+1/2,-z+1/2'
'-x+1/2,y+1/2,z+1/2'
'-y+3/4,-x+3/4,-z+1/4'
'y+3/4,x+3/4,z+1/4'
'-x,y+1/2,-z'
'x,-y+1/2,z'
'y+3/4,x+1/4,-z+3/4'
'-y+3/4,-x+1/4,z+3/4'
loop_
_atom_site_label
_atom_site_fract_x
_atom_site_fract_y
_atom_site_fract_z
Ce1 0.000 0.000 0.000
V1 0.000 0.000 0.500
O1 0.000 0.029 0.198
```